No. 1
VASP calculation (PBE) on crystalline La2Nd2Sm5 at its relaxed geometry.

Computed properties:
mass density = 6893 kg/m³
energy of formation from the pure elements = 177 meV/atom
total moment = 0.0 μB per formula unit
density of states at the Fermi level = 29.23 states/eV/cell
energy relative to the lowest polymorph listed for this composition = 4.4 kJ/mol of atoms
E = -82.8 eV for the cell shown
SG = Ima2, No. 46

a b c (Å): 12.1608 6.8730 10.3202
angles (deg): 109.45 126.10 90.00
With the nearest neighbours (Å) after each atom.
Element x y z (fractional)
Sm  0.7965  0.7599  0.1077  5 Sm 3.26-3.61, 1 La 3.33, 1 Nd 3.48
Sm  0.9857  0.1627  0.5000  6 Sm 3.30-3.61, 2 La 3.49-3.66, 2 Nd 3.59
Sm  0.1888  0.1522  0.8923  5 Sm 3.26-3.61, 1 La 3.33, 1 Nd 3.48
Sm  0.2035  0.6522  0.8923  5 Sm 3.26-3.61, 1 La 3.33, 1 Nd 3.48
Sm  0.3744  0.0353  0.2847  4 Sm 3.26-3.46, 2 Nd 3.44-3.64, 1 La 3.50
Sm  0.4103  0.5353  0.2847  4 Sm 3.26-3.46, 2 Nd 3.44-3.64, 1 La 3.50
Sm  0.5897  0.2506  0.7153  4 Sm 3.26-3.46, 2 Nd 3.44-3.64, 1 La 3.50
Sm  0.0143  0.6627  0.5000  6 Sm 3.30-3.61, 2 La 3.49-3.66, 2 Nd 3.59
Sm  0.6256  0.7506  0.7153  4 Sm 3.26-3.46, 2 Nd 3.44-3.64, 1 La 3.50
Sm  0.8112  0.2599  0.1077  5 Sm 3.26-3.61, 1 La 3.33, 1 Nd 3.48
Nd  0.8734  0.4331  0.7497  4 Sm 3.44-3.64, 2 La 3.68-3.72, 2 Nd 3.79-3.80
Nd  0.1266  0.6834  0.2503  4 Sm 3.44-3.64, 2 La 3.68-3.72, 2 Nd 3.79-3.80
Nd  0.3763  0.9331  0.7497  4 Sm 3.44-3.64, 2 La 3.68-3.72, 2 Nd 3.79-3.80
Nd  0.6237  0.1834  0.2503  4 Sm 3.44-3.64, 2 La 3.68-3.72, 2 Nd 3.79-3.80
La  0.0000  0.0166  0.0000  4 Sm 3.33-3.66, 2 Nd 3.68
La  0.7458  0.8422  0.5000  4 Sm 3.49-3.66, 2 Nd 3.72, 2 La 3.83
La  0.2542  0.3422  0.5000  4 Sm 3.49-3.66, 2 Nd 3.72, 2 La 3.83
La  0.5000  0.5166  0.0000  4 Sm 3.33-3.66, 2 Nd 3.68

---

No. 2
VASP calculation (PBE) on crystalline LaNd5Sm at its relaxed geometry.

Computed properties:
mass density = 6658 kg/m³
energy of formation from the pure elements = 149 meV/atom
total moment = 0.0 μB per formula unit
density of states at the Fermi level = 22.58 states/eV/cell
energy relative to the lowest polymorph listed for this composition = 8.6 kJ/mol of atoms
E = -64.9 eV for the cell shown
SG = C2/c, No. 15

a b c (Å): 9.1072 9.1072 13.6269
angles (deg): 44.73 44.73 43.94
With the nearest neighbours (Å) after each atom.
Element x y z (fractional)
Nd  0.7409  0.7491  0.0949  6 Nd 3.36-3.72, 2 La 3.41-3.50, 1 Sm 3.42
Nd  0.3347  0.3334  0.0873  5 Nd 3.42-3.72, 1 La 3.54
Nd  0.6666  0.6653  0.4127  5 Nd 3.42-3.72, 1 La 3.54
Nd  0.2509  0.2591  0.4051  6 Nd 3.36-3.72, 2 La 3.41-3.50, 1 Sm 3.42
Nd  0.7491  0.7409  0.5949  6 Nd 3.36-3.72, 2 La 3.41-3.50, 1 Sm 3.42
Nd  0.6653  0.6666  0.9127  5 Nd 3.42-3.72, 1 La 3.54
Nd  0.3334  0.3347  0.5873  5 Nd 3.42-3.72, 1 La 3.54
Nd  0.2364  0.7636  0.2500  1 La 3.20, 6 Nd 3.36-3.53
Nd  0.2591  0.2509  0.9051  6 Nd 3.36-3.72, 2 La 3.41-3.50, 1 Sm 3.42
Nd  0.7636  0.2364  0.7500  1 La 3.20, 6 Nd 3.36-3.53
Sm  0.0000  0.0000  0.0000  4 Nd 3.42-3.77, 2 La 3.76
Sm  0.0000  0.0000  0.5000  4 Nd 3.42-3.77, 2 La 3.76
La  0.7670  0.2330  0.2500  7 Nd 3.20-3.54
La  0.2330  0.7670  0.7500  7 Nd 3.20-3.54

---

No. 3
VASP calculation (PBE) on crystalline La2NdSm at its relaxed geometry.

Computed properties:
mass density = 6643 kg/m³
energy of formation from the pure elements = 17 meV/atom
total moment = 0.0 μB per formula unit
density of states at the Fermi level = 7.73 states/eV/cell
energy relative to the lowest polymorph listed for this composition = 0.7 kJ/mol of atoms
E = -19.3 eV for the cell shown
SG = Cmmm, No. 65

a b c (Å): 3.7165 6.3730 6.3730
angles (deg): 108.59 90.00 90.00
With the nearest neighbours (Å) after each atom.
Element x y z (fractional)
La  0.0000  0.0000  0.5000  4 Sm 3.69, 4 Nd 3.69, 4 La 3.72
La  0.0000  0.5000  0.0000  4 Nd 3.69, 4 Sm 3.69, 4 La 3.72
Sm  0.5000  0.5000  0.5000  8 La 3.69, 2 Sm 3.72, 2 Nd 3.72
Nd  0.5000  0.0000  0.0000  8 La 3.69, 2 Nd 3.72, 2 Sm 3.72